Density functional theory data (GGA-PBEsol) for LiSiBiO4 after structural relaxation.

abc: 5.0496 5.0496 8.6140
angles: 90.00 90.00 120.00
Last column: nearest neighbours and their distance in Å.
Fractional positions:
Si  0.6667  0.3333  0.5461  4 O 1.61-1.65
Si  0.3333  0.6667  0.0461  4 O 1.61-1.65
Bi  0.0000  0.0000  0.8202  3 O 2.15
Bi  0.0000  0.0000  0.3202  3 O 2.15
O  0.9565  0.6548  0.4812  1 Si 1.65
O  0.6667  0.3333  0.7328  1 Si 1.61
O  0.3452  0.3017  0.4812  1 Si 1.65
O  0.6983  0.0435  0.4812  1 Si 1.65
O  0.6548  0.9565  0.9812  1 Si 1.65
O  0.3333  0.6667  0.2328  1 Si 1.61
O  0.3017  0.3452  0.9812  1 Si 1.65
O  0.0435  0.6983  0.9812  1 Si 1.65
Li  0.6667  0.3333  0.9458  4 O 1.83-1.90
Li  0.3333  0.6667  0.4458  4 O 1.83-1.90

* DFT total energy: -6.812 eV per atom
* raw formation energy: -202.4 kJ per mole of atoms
* space group: No. 159
* total magnetization: 0.000 μB per cell

---

Density functional theory data (GGA-PBEsol) for LiSiBi3O7 after structural relaxation.

abc: 5.1160 8.4273 8.4273
angles: 120.00 90.00 90.00
Last column: nearest neighbours and their distance in Å.
Fractional positions:
Li  0.4734  0.0000  0.0000  3 O 1.98
Li  0.9734  0.0000  0.0000  3 O 1.98
Si  0.3280  0.3333  0.6667  4 O 1.64-1.66
Si  0.8280  0.6667  0.3333  4 O 1.64-1.66
Bi  0.7937  0.2608  0.9036  3 O 2.23-2.27
Bi  0.7937  0.6428  0.7392  3 O 2.23-2.27
Bi  0.7937  0.0964  0.3572  3 O 2.23-2.27
Bi  0.2937  0.9036  0.6428  3 O 2.23-2.27
Bi  0.2937  0.3572  0.2608  3 O 2.23-2.27
Bi  0.2937  0.7392  0.0964  3 O 2.23-2.27
O  0.1790  0.1459  0.9185  1 Li 1.98
O  0.4516  0.4694  0.8728  1 Si 1.66
O  0.4516  0.1272  0.5966  1 Si 1.66
O  0.0078  0.3333  0.6667  1 Si 1.64
O  0.1790  0.7726  0.8541  1 Li 1.98
O  0.4516  0.4034  0.5306  1 Si 1.66
O  0.6790  0.9185  0.7726  1 Li 1.98
O  0.1790  0.0815  0.2274  1 Li 1.98
O  0.9516  0.5966  0.4694  1 Si 1.66
O  0.6790  0.2274  0.1459  1 Li 1.98
O  0.5078  0.6667  0.3333  1 Si 1.64
O  0.9516  0.8728  0.4034  1 Si 1.66
O  0.9516  0.5306  0.1272  1 Si 1.66
O  0.6790  0.8541  0.0815  1 Li 1.98

* DFT total energy: -6.527 eV per atom
* raw formation energy: -169.0 kJ per mole of atoms
* space group: No. 173
* total magnetization: 0.000 μB per cell

---

Density functional theory data (GGA-PBEsol) for LiSiBiO4 after structural relaxation.

abc: 5.7186 7.0130 8.7826
angles: 90.00 90.00 90.00
Last column: nearest neighbours and their distance in Å.
Fractional positions:
Li  0.0000  0.0000  0.0000  4 O 1.97-2.10
Li  0.0000  0.5000  0.0000  4 O 1.97-2.10
Li  0.5000  0.5000  0.5000  4 O 1.97-2.10
Li  0.5000  0.0000  0.5000  4 O 1.97-2.10
Si  0.0932  0.2500  0.6877  4 O 1.63-1.67
Si  0.4068  0.2500  0.1877  4 O 1.63-1.67
Si  0.5932  0.7500  0.8123  4 O 1.63-1.67
Si  0.9068  0.7500  0.3123  4 O 1.63-1.67
Bi  0.1308  0.7500  0.6612  5 O 2.20-2.40
Bi  0.3692  0.7500  0.1612  5 O 2.20-2.40
Bi  0.6308  0.2500  0.8388  5 O 2.20-2.40
Bi  0.8692  0.2500  0.3388  5 O 2.20-2.40
O  0.9872  0.7500  0.1310  1 Si 1.66
O  0.3333  0.7500  0.9002  1 Si 1.67
O  0.2519  0.0626  0.1450  1 Si 1.63
O  0.2519  0.4374  0.1450  1 Si 1.63
O  0.2481  0.0626  0.6450  1 Si 1.63
O  0.2481  0.4374  0.6450  1 Si 1.63
O  0.1667  0.7500  0.4002  1 Si 1.67
O  0.5128  0.7500  0.6310  1 Si 1.66
O  0.4872  0.2500  0.3690  1 Si 1.66
O  0.8333  0.2500  0.5998  1 Si 1.67
O  0.7481  0.5626  0.8550  1 Si 1.63
O  0.7481  0.9374  0.8550  1 Si 1.63
O  0.7519  0.9374  0.3550  1 Si 1.63
O  0.7519  0.5626  0.3550  1 Si 1.63
O  0.0128  0.2500  0.8690  1 Si 1.66
O  0.6667  0.2500  0.0998  1 Si 1.67

* DFT total energy: -6.845 eV per atom
* raw formation energy: -205.6 kJ per mole of atoms
* space group: No. 62
* total magnetization: 0.000 μB per cell

---

Density functional theory data (GGA-PBEsol) for LiSi2Bi3O9 after structural relaxation.

abc: 7.5836 10.8044 10.5347
angles: 90.00 90.74 90.00
Last column: nearest neighbours and their distance in Å.
Fractional positions:
Li  0.1291  0.4793  0.3323  3 O 1.95-1.98
Li  0.1291  0.0207  0.8323  3 O 1.95-1.98
Li  0.8709  0.9793  0.1677  3 O 1.95-1.98
Li  0.8709  0.5207  0.6677  3 O 1.95-1.98
Si  0.1670  0.1295  0.3170  4 O 1.62-1.67
Si  0.1670  0.3705  0.8170  4 O 1.62-1.67
Si  0.4046  0.6232  0.1729  4 O 1.61-1.67
Si  0.4046  0.8768  0.6729  4 O 1.61-1.67
Si  0.5954  0.1232  0.3271  4 O 1.61-1.67
Si  0.5954  0.3768  0.8271  4 O 1.61-1.67
Si  0.8330  0.6295  0.1830  4 O 1.62-1.67
Si  0.8330  0.8705  0.6830  4 O 1.62-1.67
Bi  0.1246  0.7972  0.3988  3 O 2.16-2.28
Bi  0.1246  0.7028  0.8988  3 O 2.16-2.28
Bi  0.3502  0.9391  0.1026  3 O 2.13-2.27
Bi  0.3671  0.2994  0.1033  5 O 2.25-2.51
Bi  0.3502  0.5609  0.6026  3 O 2.13-2.27
Bi  0.3671  0.2006  0.6033  5 O 2.25-2.51
Bi  0.6329  0.7994  0.3967  5 O 2.25-2.51
Bi  0.6498  0.4391  0.3974  3 O 2.13-2.27
Bi  0.6329  0.7006  0.8967  5 O 2.25-2.51
Bi  0.6498  0.0609  0.8974  3 O 2.13-2.27
Bi  0.8754  0.2972  0.1012  3 O 2.16-2.28
Bi  0.8754  0.2028  0.6012  3 O 2.16-2.28
O  0.0945  0.9992  0.2619  1 Si 1.62
O  0.0945  0.5008  0.7619  1 Si 1.62
O  0.1554  0.6091  0.4641  1 Li 1.98, 2 Bi 2.13-2.16
O  0.1007  0.2495  0.2331  1 Si 1.64
O  0.1554  0.8909  0.9641  1 Li 1.98, 2 Bi 2.13-2.16
O  0.1007  0.2505  0.7331  1 Si 1.64
O  0.1448  0.1509  0.4699  1 Si 1.64
O  0.1448  0.3491  0.9699  1 Si 1.64
O  0.3304  0.4916  0.2194  1 Si 1.61
O  0.3304  0.0084  0.7194  1 Si 1.61
O  0.4029  0.3834  0.5026  3 Bi 2.23-2.27
O  0.3202  0.7445  0.2450  1 Si 1.65
O  0.4029  0.1166  0.0026  3 Bi 2.23-2.27
O  0.3202  0.7555  0.7450  1 Si 1.65
O  0.3955  0.6437  0.0185  1 Si 1.64
O  0.3826  0.1331  0.2870  2 Si 1.67
O  0.3955  0.8563  0.5185  1 Si 1.64
O  0.3826  0.3669  0.7870  2 Si 1.67
O  0.6174  0.6331  0.2130  2 Si 1.67
O  0.6045  0.1437  0.4815  1 Si 1.64
O  0.6174  0.8669  0.7130  2 Si 1.67
O  0.6045  0.3563  0.9815  1 Si 1.64
O  0.6798  0.2445  0.2550  1 Si 1.65
O  0.5971  0.8834  0.9974  3 Bi 2.23-2.27
O  0.6798  0.2555  0.7550  1 Si 1.65
O  0.5971  0.6166  0.4974  3 Bi 2.23-2.27
O  0.6696  0.9916  0.2806  1 Si 1.61
O  0.6696  0.5084  0.7806  1 Si 1.61
O  0.8552  0.6509  0.0301  1 Si 1.64
O  0.8552  0.8491  0.5301  1 Si 1.64
O  0.8993  0.7495  0.2669  1 Si 1.64
O  0.8446  0.1091  0.0359  1 Li 1.98, 2 Bi 2.13-2.16
O  0.8993  0.7505  0.7669  1 Si 1.64
O  0.8446  0.3909  0.5359  1 Li 1.98, 2 Bi 2.13-2.16
O  0.9055  0.4992  0.2381  1 Si 1.62
O  0.9055  0.0008  0.7381  1 Si 1.62

* DFT total energy: -6.862 eV per atom
* raw formation energy: -188.9 kJ per mole of atoms
* space group: No. 14
* total magnetization: 0.000 μB per cell